# 1
K2Ba | the Alexandria database | GGA-PBEsol | relaxed; DFT total energy = -4.2 eV for the cell shown; density of states at the Fermi level = 2.67 states/eV per cell; symmetry = I4/mmm
1.0
4.279 0.000 0.000
0.000 4.279 0.000
-2.140 -2.140 10.661
K Ba
2 1
Direct
0.836 0.836 0.673
0.164 0.164 0.327
0.500 0.500 0.000

# 2
KBa4 | the Alexandria database | GGA-PBEsol | relaxed; DFT total energy = -7.2 eV for the cell shown; density of states at the Fermi level = 9.59 states/eV per cell; symmetry = Im-3m
1.0
7.676 0.000 0.000
-2.559 7.237 0.000
-2.559 -3.619 6.268
Ba K
4 1
Direct
0.000 0.000 0.500
0.000 0.500 0.000
0.500 0.000 0.000
0.500 0.500 0.500
0.000 0.000 0.000

# 3
KBa5 | the Alexandria database | GGA-PBEsol | relaxed; distance to the lowest polymorph of the same formula = 0.0 meV/atom; DFT total energy = -11.5 eV for the cell shown; density of states at the Fermi level = 10.04 states/eV per cell; symmetry = Amm2
1.0
4.369 0.000 0.000
0.000 7.227 0.000
-2.185 0.000 11.458
K Ba
1 5
Direct
0.111 0.500 0.222
0.997 0.000 0.994
0.335 0.000 0.670
0.668 0.000 0.336
0.444 0.500 0.887
0.779 0.500 0.558

# 4
KBa2 | the Alexandria database | GGA-PBEsol | relaxed; DFT total energy = -10.3 eV for the cell shown; density of states at the Fermi level = 8.22 states/eV per cell; symmetry = Cm
1.0
4.362 0.001 0.000
-2.179 8.322 0.004
-0.001 -3.018 10.272
K Ba
2 4
Direct
0.060 0.121 0.617
0.721 0.442 0.943
0.995 0.990 0.003
0.665 0.330 0.328
0.335 0.670 0.658
0.390 0.780 0.284

# 5
K2BaLa | the Alexandria database | GGA-PBEsol | relaxed; distance to the lowest polymorph of the same formula = 110.1 meV/atom; DFT total energy = -8.4 eV for the cell shown; density of states at the Fermi level = 5.35 states/eV per cell; symmetry = Pmmm
1.0
4.073 0.000 0.000
0.000 6.788 0.000
0.000 0.000 7.381
Ba K La
1 2 1
Direct
0.000 0.500 0.500
0.000 0.000 0.000
0.500 0.500 0.000
0.500 0.000 0.500

# 6
K2BaLa | the Alexandria database | GGA-PBEsol | relaxed; distance to the lowest polymorph of the same formula = 0.0 meV/atom; DFT total energy = -8.8 eV for the cell shown; density of states at the Fermi level = 5.54 states/eV per cell; symmetry = Pmm2
1.0
-3.705 1.124 0.912
-1.342 -1.747 -3.296
-1.786 -11.356 6.748
Ba K La
1 2 1
Direct
0.500 0.500 0.722
0.000 0.000 0.990
0.500 0.500 0.274
0.000 0.000 0.515

# 7
KBa2Li | the Alexandria database | GGA-PBEsol | relaxed; DFT total energy = -7.0 eV for the cell shown; density of states at the Fermi level = 4.53 states/eV per cell; symmetry = Pm
1.0
-1.301 4.099 0.552
-4.091 -1.359 0.447
1.522 -0.978 10.951
K Ba Li
1 2 1
Direct
0.001 0.000 0.550
0.999 0.000 0.952
0.499 0.500 0.243
0.500 0.500 0.755

# 8
K2BaLi | the Alexandria database | GGA-PBEsol | relaxed; distance to the lowest polymorph of the same formula = 125.9 meV/atom; DFT total energy = -5.5 eV for the cell shown; density of states at the Fermi level = 4.00 states/eV per cell; symmetry = Cmmm
1.0
-0.796 2.752 3.192
2.067 -5.327 5.108
5.557 4.603 -2.584
Ba K Li
1 2 1
Direct
0.500 0.500 0.500
0.000 0.500 0.000
0.000 0.000 0.500
0.500 0.000 0.000

no.,energy of formation (eV/f.u.)
1,0.25
2,2.55
3,0.39
4,0.28
5,1.40
6,0.96
7,0.38
8,0.84